one.
! ZrCuBiOs, relaxed, DFT GGA-PBE; values from VASP
! SG = F-43m, No. 216
! Total moment = 0.000 μB/atom
&SYSTEM
  ibrav = 0, nat = 4, ntyp = 4
/
ATOMIC_SPECIES
Zr 91.22 Zr.upf
Cu 63.55 Cu.upf
Bi 208.98 Bi.upf
Os 190.23 Os.upf
ATOMIC_POSITIONS angstrom
Zr 0.0000 0.0000 0.0000
Cu 1.6506 1.6506 1.6506
Bi 4.9518 4.9518 4.9518
Os 3.3012 3.3012 3.3012
CELL_PARAMETERS angstrom
0.0000 3.3012 3.3012
3.3012 0.0000 3.3012
3.3012 3.3012 0.0000



two.
! ZrCuBiOs, relaxed, DFT GGA-PBE; values from VASP
! SG = F-43m, No. 216
! Total moment = 0.000 μB/atom
&SYSTEM
  ibrav = 0, nat = 4, ntyp = 4
/
ATOMIC_SPECIES
Zr 91.22 Zr.upf
Cu 63.55 Cu.upf
Bi 208.98 Bi.upf
Os 190.23 Os.upf
ATOMIC_POSITIONS angstrom
Zr 0.0000 0.0000 0.0000
Cu 1.6630 1.6630 1.6630
Bi 3.3261 3.3261 3.3261
Os 4.9891 4.9891 4.9891
CELL_PARAMETERS angstrom
0.0000 3.3261 3.3261
3.3261 0.0000 3.3261
3.3261 3.3261 0.0000



In terms of stability, two leads; the second structure lies 0.192 eV/atom higher.



one.
! TaCuBiPd, relaxed, DFT GGA-PBE; values from VASP
! SG = F-43m, No. 216
! Total moment = 0.140 μB/atom
&SYSTEM
  ibrav = 0, nat = 4, ntyp = 4
/
ATOMIC_SPECIES
Ta 180.95 Ta.upf
Cu 63.55 Cu.upf
Bi 208.98 Bi.upf
Pd 106.42 Pd.upf
ATOMIC_POSITIONS angstrom
Ta 0.0000 0.0000 0.0000
Cu 4.9852 4.9852 4.9852
Bi 3.3235 3.3235 3.3235
Pd 1.6617 1.6617 1.6617
CELL_PARAMETERS angstrom
0.0000 3.3235 3.3235
3.3235 0.0000 3.3235
3.3235 3.3235 0.0000



two.
! TaCuBiPd, relaxed, DFT GGA-PBE; values from VASP
! SG = F-43m, No. 216
! Total moment = 0.035 μB/atom
&SYSTEM
  ibrav = 0, nat = 4, ntyp = 4
/
ATOMIC_SPECIES
Ta 180.95 Ta.upf
Cu 63.55 Cu.upf
Bi 208.98 Bi.upf
Pd 106.42 Pd.upf
ATOMIC_POSITIONS angstrom
Ta 0.0000 0.0000 0.0000
Cu 3.3172 3.3172 3.3172
Bi 1.6586 1.6586 1.6586
Pd 4.9757 4.9757 4.9757
CELL_PARAMETERS angstrom
0.0000 3.3172 3.3172
3.3172 0.0000 3.3172
3.3172 3.3172 0.0000



In terms of stability, two leads; the second structure lies 0.053 eV/atom higher.



one.
! ZnCuBiPd, relaxed, DFT GGA-PBE; values from VASP
! SG = F-43m, No. 216
&SYSTEM
  ibrav = 0, nat = 4, ntyp = 4
/
ATOMIC_SPECIES
Zn 65.41 Zn.upf
Cu 63.55 Cu.upf
Bi 208.98 Bi.upf
Pd 106.42 Pd.upf
ATOMIC_POSITIONS angstrom
Zn 0.0000 0.0000 0.0000
Cu 1.6473 1.6473 1.6473
Bi 3.2946 3.2946 3.2946
Pd 4.9419 4.9419 4.9419
CELL_PARAMETERS angstrom
0.0000 3.2946 3.2946
3.2946 0.0000 3.2946
3.2946 3.2946 0.0000



two.
! ZnCuBiPd, relaxed, DFT GGA-PBE; values from VASP
! SG = F-43m, No. 216
&SYSTEM
  ibrav = 0, nat = 4, ntyp = 4
/
ATOMIC_SPECIES
Zn 65.41 Zn.upf
Cu 63.55 Cu.upf
Bi 208.98 Bi.upf
Pd 106.42 Pd.upf
ATOMIC_POSITIONS angstrom
Zn 0.0000 0.0000 0.0000
Cu 3.2906 3.2906 3.2906
Bi 1.6453 1.6453 1.6453
Pd 4.9358 4.9358 4.9358
CELL_PARAMETERS angstrom
0.0000 3.2906 3.2906
3.2906 0.0000 3.2906
3.2906 3.2906 0.0000



In terms of stability, one leads; the second structure lies 0.045 eV/atom higher.



one.
! CuReBiPt, relaxed, DFT GGA-PBE; values from VASP
! SG = F-43m, No. 216
! Total moment = 0.002 μB/atom
&SYSTEM
  ibrav = 0, nat = 4, ntyp = 4
/
ATOMIC_SPECIES
Cu 63.55 Cu.upf
Re 186.21 Re.upf
Bi 208.98 Bi.upf
Pt 195.08 Pt.upf
ATOMIC_POSITIONS angstrom
Cu 0.0000 0.0000 0.0000
Re 3.2463 3.2463 3.2463
Bi 4.8695 4.8695 4.8695
Pt 1.6232 1.6232 1.6232
CELL_PARAMETERS angstrom
0.0000 3.2463 3.2463
3.2463 0.0000 3.2463
3.2463 3.2463 0.0000



two.
! CuReBiPt, relaxed, DFT GGA-PBE; values from VASP
! SG = F-43m, No. 216
! Total moment = 0.712 μB/atom
&SYSTEM
  ibrav = 0, nat = 4, ntyp = 4
/
ATOMIC_SPECIES
Cu 63.55 Cu.upf
Re 186.21 Re.upf
Bi 208.98 Bi.upf
Pt 195.08 Pt.upf
ATOMIC_POSITIONS angstrom
Cu 0.0000 0.0000 0.0000
Re 4.9435 4.9435 4.9435
Bi 1.6478 1.6478 1.6478
Pt 3.2956 3.2956 3.2956
CELL_PARAMETERS angstrom
0.0000 3.2956 3.2956
3.2956 0.0000 3.2956
3.2956 3.2956 0.0000



In terms of stability, one leads; the second structure lies 0.191 eV/atom higher.



one.
! CuBiPtS3, relaxed, DFT GGA-PBE; values from VASP
! SG = P1, No. 1
! Total moment = 0.001 μB/atom
&SYSTEM
  ibrav = 0, nat = 24, ntyp = 4
/
ATOMIC_SPECIES
Cu 63.55 Cu.upf
Bi 208.98 Bi.upf
Pt 195.08 Pt.upf
S 32.06 S.upf
ATOMIC_POSITIONS angstrom
Cu 0.0000 0.0000 0.0000
Cu 0.6417 3.1334 6.0075
Cu 3.1150 6.8999 4.9434
Cu 3.7556 3.7534 10.9512
Bi 1.0325 7.2850 8.7649
Bi 2.7185 3.5266 2.1816
Bi 4.1710 7.1300 8.1895
Bi 5.8507 3.3691 2.7657
Pt 1.4350 4.4665 11.9077
Pt 2.2713 0.6997 11.0628
Pt 4.5907 2.4218 5.0472
Pt 5.4346 6.1887 5.9062
S 1.3974 5.3776 5.4957
S 1.7983 5.7586 3.4110
S 1.7802 2.8284 10.3027
S 1.9759 6.6095 0.6460
S 1.9566 1.9872 7.5387
S 2.3571 1.6108 5.4526
S 4.5090 1.5045 11.4639
S 4.9413 1.1371 1.5294
S 4.9354 4.0578 6.6565
S 5.0929 0.2900 4.2972
S 5.0833 4.8953 9.4225
S 5.4678 5.2715 11.5112
CELL_PARAMETERS angstrom
6.2706 0.0000 0.0000
-0.0003 7.5327 0.0000
-0.0475 -0.0131 12.0215



two.
! CuBiPtS3, relaxed, DFT GGA-PBE; values from VASP
! SG = P2_12_12_1, No. 19
! Total moment = 0.001 μB/atom
&SYSTEM
  ibrav = 0, nat = 24, ntyp = 4
/
ATOMIC_SPECIES
Cu 63.55 Cu.upf
Bi 208.98 Bi.upf
Pt 195.08 Pt.upf
S 32.06 S.upf
ATOMIC_POSITIONS angstrom
Cu 0.1249 0.9035 5.5825
Cu 2.3718 6.8852 11.9243
Cu 2.6217 2.9908 7.1011
Cu 4.8686 4.7979 0.7593
Bi 0.4659 0.9024 1.6603
Bi 2.0309 6.8864 8.0020
Bi 2.9626 2.9920 11.0233
Bi 4.5277 4.7967 4.6815
Pt 0.0235 4.9478 9.5025
Pt 2.4733 2.8409 3.1607
Pt 2.5202 6.7353 3.1811
Pt 4.9701 1.0535 9.5229
S 1.1645 4.9717 11.5688
S 1.1899 2.9880 8.9293
S 1.2009 1.0125 11.5503
S 1.2958 6.7762 5.2086
S 1.3069 4.8007 2.5875
S 1.3322 2.8171 5.2270
S 3.6613 6.7114 1.1148
S 3.6866 0.9063 3.7543
S 3.6977 2.8818 1.1332
S 3.7926 4.9069 7.4750
S 3.8037 6.8824 10.0961
S 3.8290 1.0773 7.4566
CELL_PARAMETERS angstrom
4.9935 0.0000 0.0000
0.0000 7.7887 0.0000
0.0000 0.0000 12.6836



In terms of stability, two leads; the second structure lies 0.380 eV/atom higher.



one.
! SrCuBiPt, relaxed, DFT GGA-PBE; values from VASP
! SG = F-43m, No. 216
! Total moment = 0.000 μB/atom
&SYSTEM
  ibrav = 0, nat = 4, ntyp = 4
/
ATOMIC_SPECIES
Sr 87.62 Sr.upf
Cu 63.55 Cu.upf
Bi 208.98 Bi.upf
Pt 195.08 Pt.upf
ATOMIC_POSITIONS angstrom
Sr 0.0000 0.0000 0.0000
Cu 3.5693 3.5693 3.5693
Bi 1.7847 1.7847 1.7847
Pt 5.3540 5.3540 5.3540
CELL_PARAMETERS angstrom
0.0000 3.5693 3.5693
3.5693 0.0000 3.5693
3.5693 3.5693 0.0000



two.
! SrCuBiPt, relaxed, DFT GGA-PBE; values from VASP
! SG = F-43m, No. 216
! Total moment = 0.000 μB/atom
&SYSTEM
  ibrav = 0, nat = 4, ntyp = 4
/
ATOMIC_SPECIES
Sr 87.62 Sr.upf
Cu 63.55 Cu.upf
Bi 208.98 Bi.upf
Pt 195.08 Pt.upf
ATOMIC_POSITIONS angstrom
Sr 0.0000 0.0000 0.0000
Cu 1.7807 1.7807 1.7807
Bi 3.5615 3.5615 3.5615
Pt 5.3422 5.3422 5.3422
CELL_PARAMETERS angstrom
0.0000 3.5615 3.5615
3.5615 0.0000 3.5615
3.5615 3.5615 0.0000



In terms of stability, two leads; the second structure lies 0.226 eV/atom higher.



one.
! TaCuBiPt, relaxed, DFT GGA-PBE; values from VASP
! SG = F-43m, No. 216
! Total moment = 0.037 μB/atom
&SYSTEM
  ibrav = 0, nat = 4, ntyp = 4
/
ATOMIC_SPECIES
Ta 180.95 Ta.upf
Cu 63.55 Cu.upf
Bi 208.98 Bi.upf
Pt 195.08 Pt.upf
ATOMIC_POSITIONS angstrom
Ta 0.0000 0.0000 0.0000
Cu 3.3166 3.3166 3.3166
Bi 4.9749 4.9749 4.9749
Pt 1.6583 1.6583 1.6583
CELL_PARAMETERS angstrom
0.0000 3.3166 3.3166
3.3166 0.0000 3.3166
3.3166 3.3166 0.0000



two.
! TaCuBiPt, relaxed, DFT GGA-PBE; values from VASP
! SG = F-43m, No. 216
! Total moment = 0.204 μB/atom
&SYSTEM
  ibrav = 0, nat = 4, ntyp = 4
/
ATOMIC_SPECIES
Ta 180.95 Ta.upf
Cu 63.55 Cu.upf
Bi 208.98 Bi.upf
Pt 195.08 Pt.upf
ATOMIC_POSITIONS angstrom
Ta 0.0000 0.0000 0.0000
Cu 5.0014 5.0014 5.0014
Bi 3.3343 3.3343 3.3343
Pt 1.6671 1.6671 1.6671
CELL_PARAMETERS angstrom
0.0000 3.3343 3.3343
3.3343 0.0000 3.3343
3.3343 3.3343 0.0000



In terms of stability, one leads; the second structure lies 0.078 eV/atom higher.



one.
! CuBiPtW, relaxed, DFT GGA-PBE; values from VASP
! SG = F-43m, No. 216
! Total moment = 0.525 μB/atom
&SYSTEM
  ibrav = 0, nat = 4, ntyp = 4
/
ATOMIC_SPECIES
Cu 63.55 Cu.upf
Bi 208.98 Bi.upf
Pt 195.08 Pt.upf
W 183.84 W.upf
ATOMIC_POSITIONS angstrom
Cu 0.0000 0.0000 0.0000
Bi 1.6553 1.6553 1.6553
Pt 3.3105 3.3105 3.3105
W 4.9658 4.9658 4.9658
CELL_PARAMETERS angstrom
0.0000 3.3105 3.3105
3.3105 0.0000 3.3105
3.3105 3.3105 0.0000



two.
! CuBiPtW, relaxed, DFT GGA-PBE; values from VASP
! SG = F-43m, No. 216
! Total moment = 0.193 μB/atom
&SYSTEM
  ibrav = 0, nat = 4, ntyp = 4
/
ATOMIC_SPECIES
Cu 63.55 Cu.upf
Bi 208.98 Bi.upf
Pt 195.08 Pt.upf
W 183.84 W.upf
ATOMIC_POSITIONS angstrom
Cu 0.0000 0.0000 0.0000
Bi 4.9186 4.9186 4.9186
Pt 1.6395 1.6395 1.6395
W 3.2791 3.2791 3.2791
CELL_PARAMETERS angstrom
0.0000 3.2791 3.2791
3.2791 0.0000 3.2791
3.2791 3.2791 0.0000



In terms of stability, two leads; the second structure lies 0.141 eV/atom higher.



one.
! RbCuBi, relaxed, DFT GGA-PBE; values from VASP
! SG = F-43m, No. 216
&SYSTEM
  ibrav = 0, nat = 3, ntyp = 3
/
ATOMIC_SPECIES
Rb 85.47 Rb.upf
Cu 63.55 Cu.upf
Bi 208.98 Bi.upf
ATOMIC_POSITIONS angstrom
Rb 0.0000 0.0000 0.0000
Cu 1.9470 1.9470 1.9470
Bi 5.8411 5.8411 5.8411
CELL_PARAMETERS angstrom
0.0000 3.8941 3.8941
3.8941 0.0000 3.8941
3.8941 3.8941 0.0000



two.
! RbCuBi, relaxed, DFT GGA-PBE; values from VASP
! SG = F-43m, No. 216
&SYSTEM
  ibrav = 0, nat = 3, ntyp = 3
/
ATOMIC_SPECIES
Rb 85.47 Rb.upf
Cu 63.55 Cu.upf
Bi 208.98 Bi.upf
ATOMIC_POSITIONS angstrom
Rb 0.0000 0.0000 0.0000
Cu 5.4766 5.4766 5.4766
Bi 3.6510 3.6510 3.6510
CELL_PARAMETERS angstrom
0.0000 3.6510 3.6510
3.6510 0.0000 3.6510
3.6510 3.6510 0.0000



In terms of stability, two leads; the second structure lies 0.666 eV/atom higher.



one.
! ZnCuReBi, relaxed, DFT GGA-PBE; values from VASP
! SG = F-43m, No. 216
! Total moment = 0.001 μB/atom
&SYSTEM
  ibrav = 0, nat = 4, ntyp = 4
/
ATOMIC_SPECIES
Zn 65.41 Zn.upf
Cu 63.55 Cu.upf
Re 186.21 Re.upf
Bi 208.98 Bi.upf
ATOMIC_POSITIONS angstrom
Zn 0.0000 0.0000 0.0000
Cu 1.6257 1.6257 1.6257
Re 4.8770 4.8770 4.8770
Bi 3.2514 3.2514 3.2514
CELL_PARAMETERS angstrom
0.0000 3.2514 3.2514
3.2514 0.0000 3.2514
3.2514 3.2514 0.0000



two.
! ZnCuReBi, relaxed, DFT GGA-PBE; values from VASP
! SG = F-43m, No. 216
! Total moment = 0.178 μB/atom
&SYSTEM
  ibrav = 0, nat = 4, ntyp = 4
/
ATOMIC_SPECIES
Zn 65.41 Zn.upf
Cu 63.55 Cu.upf
Re 186.21 Re.upf
Bi 208.98 Bi.upf
ATOMIC_POSITIONS angstrom
Zn 0.0000 0.0000 0.0000
Cu 3.2743 3.2743 3.2743
Re 4.9114 4.9114 4.9114
Bi 1.6371 1.6371 1.6371
CELL_PARAMETERS angstrom
0.0000 3.2743 3.2743
3.2743 0.0000 3.2743
3.2743 3.2743 0.0000



In terms of stability, one leads; the second structure lies 0.181 eV/atom higher.